Compound: In2HgPt2
Source: Alexandria
Functional: SCAN
Structure: single point on PBEsol structure

Values from the calculation:
Formation energy from the elements in eV/atom: -0.3753
Magnetization in μB per formula unit: 0.00

Lattice parameters (Å, degrees): 7.414 7.414 3.416 90.00 90.00 90.00
Space group P4/mbm (No. 127)
Inequivalent atoms, fractional coordinates:
1 In 0.155 0.345 0.000 (multiplicity 4)
2 Hg 0.000 0.000 0.500 (multiplicity 2)
3 Pt 0.143 0.643 0.500 (multiplicity 4)